Record 1
This record from Alexandria describes a relaxed structure of Sb2TeHS. The functional is GGA-PBE.

Summary:
Symmetry: No. 123
Density (g/cm³): 4.54
Energy above the most stable polymorph in this dataset (kJ/mol of atoms): 42.7
V (Å³/cell): 147.8
Magnetic moment (μB per formula unit): 0.430

abc: 5.277 5.277 5.307
angles: 90.00 90.00 90.00
Sites, in units of the cell vectors:
Te 0.000 0.000 0.500
Sb 0.500 0.000 0.000
Sb 0.000 0.500 0.000
S 0.000 0.000 0.000
H 0.500 0.500 0.500



Record 2
This record from Alexandria describes a relaxed structure of Ti7Sb2H2S. The functional is GGA-PBE.

Summary:
Symmetry: No. 12
Density (g/cm³): 5.81
V (Å³/cell): 175.1
Electronic total energy (eV per cell): -80.091
Magnetic moment (μB per formula unit): 0.000

abc: 3.983 3.983 11.396
angles: 79.87 79.87 90.00
Sites, in units of the cell vectors:
Ti 0.588 0.087 0.826
Ti 0.304 0.304 0.388
H 0.408 0.408 0.182
H 0.592 0.592 0.818
S 0.000 0.000 0.000
Ti 0.412 0.913 0.174
Sb 0.181 0.181 0.641
Ti 0.087 0.588 0.826
Ti 0.913 0.412 0.174
Ti 0.696 0.696 0.612
Sb 0.819 0.819 0.359
Ti 0.500 0.500 0.000



Record 3
This record from Alexandria describes a relaxed structure of YSbHS2. The functional is GGA-PBE.

Summary:
Symmetry: No. 123
Density (g/cm³): 5.12
V (Å³/cell): 89.5
Electronic total energy (eV per cell): -24.078
Magnetic moment (μB per formula unit): 0.000

abc: 4.946 3.660 4.946
angles: 90.00 90.00 90.00
Sites, in units of the cell vectors:
S 0.500 0.000 0.000
S 0.000 0.000 0.500
H 0.000 0.000 0.000
Y 0.500 0.500 0.500
Sb 0.000 0.500 0.000